Compound: Co2P2H4PbO10
Source: the Open Quantum Materials Database
Functional: GGA+U
Structure: optimized geometry

- energy (eV/atom) = -6.179
- magnetic moment (μB per formula unit) = 6.0

Cell: 7.385 6.241 8.882 Å, 90.00 114.00 90.00°
Sites, in units of the cell vectors:
Co1 0.000 0.000 0.000
Co2 0.000 0.000 0.500
Co3 0.000 0.500 0.000
Co4 0.000 0.500 0.500
P1 0.276 0.250 0.326
P2 0.292 0.750 0.838
P3 0.708 0.250 0.162
P4 0.724 0.750 0.674
H1 0.048 0.250 0.781
H2 0.199 0.750 0.391
H3 0.258 0.250 0.964
H4 0.405 0.750 0.618
H5 0.595 0.250 0.382
H6 0.742 0.750 0.036
H7 0.801 0.250 0.609
H8 0.952 0.750 0.219
Pb1 0.495 0.250 0.764
Pb2 0.505 0.750 0.236
O1 0.067 0.750 0.391
O2 0.108 0.250 0.912
O3 0.158 0.750 0.936
O4 0.181 0.250 0.452
O5 0.235 0.044 0.224
O6 0.235 0.456 0.224
O7 0.252 0.550 0.723
O8 0.252 0.950 0.723
O9 0.490 0.750 0.556
O10 0.491 0.250 0.035
O11 0.509 0.750 0.965
O12 0.510 0.250 0.444
O13 0.748 0.050 0.277
O14 0.748 0.450 0.277
O15 0.765 0.544 0.776
O16 0.765 0.956 0.776
O17 0.819 0.750 0.548
O18 0.842 0.250 0.064
O19 0.892 0.750 0.088
O20 0.933 0.250 0.609